Here is a relaxed structure of LaSm5Cu4 from Alexandria. Energies are from PBE.

Cell and atoms, written as POSCAR:
```
LaSm5Cu4
1.0
3.553 0.000 0.000
0.000 3.553 0.000
0.000 0.000 19.715
La Sm Cu
1 5 4
Direct
0.000 0.000 0.000
0.500 0.500 0.141
0.500 0.500 0.319
0.500 0.500 0.500
0.500 0.500 0.681
0.500 0.500 0.859
0.000 0.000 0.229
0.000 0.000 0.409
0.000 0.000 0.591
0.000 0.000 0.771
```

Results
V	24.89	A^3/atom
theoretical density	7.64	g cm⁻³
formation energy from the elements	-13.6	kJ per mole of atoms
DOS(E_F)	7.49	states/eV/f.u.
crystal system	tetragonal
total magnetization	0.00	μB/atom

=====

Here is a relaxed structure of LaSmCuTc from Alexandria. Energies are from PBE.

Cell and atoms, written as POSCAR:
```
LaSmCuTc
1.0
5.034 0.000 0.000
2.517 4.360 0.000
2.517 1.453 4.110
Cu Tc Sm La
1 1 1 1
Direct
0.250 0.250 0.250
0.750 0.750 0.750
0.000 0.000 0.000
0.500 0.500 0.500
```

Results
V	22.55	A^3/atom
theoretical density	8.30	g cm⁻³
formation energy from the elements	3.5	kJ per mole of atoms
DOS(E_F)	4.54	states/eV/f.u.
crystal system	cubic
total magnetization	0.00	μB/atom

=====

Here is a relaxed structure of LaSmTlCu from Alexandria. Energies are from PBE.

Cell and atoms, written as POSCAR:
```
LaSmTlCu
1.0
-1.335 0.759 5.150
3.395 -1.466 3.900
2.530 3.745 2.908
Tl Cu Sm La
1 1 1 1
Direct
0.750 0.750 0.750
0.250 0.250 0.250
0.000 0.000 0.000
0.500 0.500 0.500
```

Results
V	27.44	A^3/atom
theoretical density	8.43	g cm⁻³
formation energy from the elements	-21.1	kJ per mole of atoms
DOS(E_F)	4.36	states/eV/f.u.
crystal system	cubic
total magnetization	0.04	μB/atom

=====

Here is a relaxed structure of LaSmYCu from Alexandria. Energies are from PBE.

Cell and atoms, written as POSCAR:
```
LaSmYCu
1.0
3.580 0.000 0.000
0.000 3.580 0.000
0.000 0.000 8.866
La Sm Y Cu
1 1 1 1
Direct
0.000 0.000 0.073
0.500 0.500 0.763
0.500 0.500 0.383
0.000 0.000 0.566
```

Results
V	28.41	A^3/atom
theoretical density	6.45	g cm⁻³
formation energy from the elements	-7.6	kJ per mole of atoms
DOS(E_F)	4.20	states/eV/f.u.
crystal system	tetragonal
total magnetization	0.00	μB/atom